## InPb8Au2 (PBE-GGA)

Data for an optimized crystal structure of InPb8Au2.

The energy is -76.691 eV/cell. The formation energy is 0.056 eV per atom.

The structure belongs to space group C2/m (No. 12); the cell edges are 13.8646, 9.0599 and 5.8683 Å and the angles 90.00°, 111.46° and 90.00°. The inequivalent atoms are In at (0.0000, 0.0000, 0.0000), Pb at (0.0958, 0.5000, 0.3766), Pb at (0.1248, 0.3014, 0.9214), Pb at (0.1368, 0.0000, 0.6017) and Au at (0.2167, 0.0000, 0.1899).